## Sc2Zn2As (PBE)

Data for crystalline Sc2Zn2As at its relaxed geometry.

The space group is P4/mbm (No. 127) and the conventional cell measures 6.9989, 6.9989 and 4.3048 Å, with angles of 90.00, 90.00 and 90.00 degrees. The distinct sites, in fractional coordinates, are Sc at (0.1663, 0.3337, 0.0000), Zn at (0.1320, 0.6320, 0.5000) and As at (0.0000, 0.0000, 0.0000).

The value obtained for the formation energy is -369 meV per atom. The value obtained for the energy above the most stable polymorph in this dataset is 71 meV per atom.

---

## B2C (PBE)

Data for crystalline B2C at its relaxed geometry.

The space group is P3m1 (No. 156) and the conventional cell measures 2.6262, 2.6262 and 14.2825 Å, with angles of 90.00, 90.00 and 120.00 degrees. The distinct sites, in fractional coordinates, are B at (0.0000, 0.0000, 0.0000), B at (0.0000, 0.0000, 0.1174), B at (0.0000, 0.0000, 0.6030), B at (0.3333, 0.6667, 0.1901), B at (0.3333, 0.6667, 0.6700), B at (0.3333, 0.6667, 0.7972), B at (0.6667, 0.3333, 0.4504), B at (0.6667, 0.3333, 0.9281), C at (0.0000, 0.0000, 0.4953), C at (0.3333, 0.6667, 0.3009), C at (0.6667, 0.3333, 0.3358) and C at (0.6667, 0.3333, 0.8181).

The value obtained for the formation energy is 544 meV per atom. The value obtained for the energy above the most stable polymorph in this dataset is 359 meV per atom.